Record 1
Computed, not measured: a relaxed KTlCr3 crystal at the GGA-PBEsol level of DFT. Values from VASP.

Quantum ESPRESSO input file:
```
&SYSTEM
  ibrav = 0, nat = 5, ntyp = 3
/
ATOMIC_SPECIES
Cr 52.00 Cr.upf
Tl 204.38 Tl.upf
K 39.10 K.upf
CELL_PARAMETERS angstrom
-4.289 -3.247 0.200
3.087 -3.958 1.944
-1.026 1.663 5.016
ATOMIC_POSITIONS angstrom
Cr 1.544 -1.979 0.972
Cr -0.513 0.832 2.508
Cr -2.144 -1.624 0.100
Tl -1.114 -2.771 3.580
K 0.000 0.000 0.000
```

Values from the calculation:
Total magnetic moment   15.33 μB per cell
Electronic total energy   -22.57 eV/f.u.
Energy relative to the elements   2.383 eV per atom
Crystal system   cubic

Record 2
Computed, not measured: a relaxed BaP2H4O4 crystal at the GGA-PBEsol level of DFT. Values from VASP.

Quantum ESPRESSO input file:
```
&SYSTEM
  ibrav = 0, nat = 22, ntyp = 4
/
ATOMIC_SPECIES
Ba 137.33 Ba.upf
H 1.01 H.upf
O 16.00 O.upf
P 30.97 P.upf
CELL_PARAMETERS angstrom
-4.741 3.932 -0.155
-3.952 -4.741 0.608
-1.642 -1.665 7.979
ATOMIC_POSITIONS angstrom
Ba -4.347 -0.405 0.226
Ba 0.000 0.000 0.000
H -6.301 -1.383 3.550
H -5.260 -0.076 4.842
H -6.074 -3.595 3.743
H -3.037 0.105 4.728
H -8.381 -1.496 5.108
H -5.471 1.938 3.209
H -3.868 -3.216 5.070
H -2.952 -2.174 3.477
O -4.964 -2.516 1.911
O -3.964 -1.126 6.567
O -3.603 1.973 1.439
O -8.140 -3.280 6.947
O -4.977 -4.295 6.903
O -2.025 -0.944 1.638
O -7.127 -0.111 6.611
O -6.542 0.401 1.711
P -6.226 -2.570 2.765
P -4.110 0.096 5.667
P -3.716 -4.241 6.048
P -1.879 -2.165 2.539
```

Values from the calculation:
Total magnetic moment   0.00 μB per cell
Electronic total energy   -64.19 eV/f.u.
Crystal system   orthorhombic

Record 3
Computed, not measured: a relaxed CoNiRh2 crystal at the GGA-PBEsol level of DFT. Values from VASP.

Quantum ESPRESSO input file:
```
&SYSTEM
  ibrav = 0, nat = 4, ntyp = 3
/
ATOMIC_SPECIES
Co 58.93 Co.upf
Ni 58.69 Ni.upf
Rh 102.91 Rh.upf
CELL_PARAMETERS angstrom
-1.504 -3.042 -1.419
1.606 -2.017 2.623
-2.897 2.967 1.477
ATOMIC_POSITIONS angstrom
Co 0.051 -2.530 0.602
Ni 0.000 0.000 0.000
Rh -2.175 -1.302 0.330
Rh -0.620 -0.790 2.351
```

Values from the calculation:
Total magnetic moment   2.23 μB per cell
Offset from the most stable computed form   13.2 meV per atom
Electronic total energy   -29.88 eV/f.u.
Energy relative to the elements   0.073 eV per atom
Crystal system   tetragonal